# ZrAlRh (PBE-GGA, relaxed)
data_ZrAlRh
_chemical_formula_sum 'Zr1 Al1 Rh1'
_symmetry_space_group_name_H-M 'P 1'
_symmetry_Int_Tables_number 1
_symmetry_space_group_name_Hall 'P 1'
_cell_length_a 4.459
_cell_length_b 4.459
_cell_length_c 4.459
_cell_angle_alpha 60.00
_cell_angle_beta 60.00
_cell_angle_gamma 60.00
loop_
_atom_site_label
_atom_site_type_symbol
_atom_site_fract_x
_atom_site_fract_y
_atom_site_fract_z
Zr1 Zr 0.000 0.000 0.000
Al1 Al 0.250 0.250 0.250
Rh1 Rh 0.750 0.750 0.750
# Energy relative to the elements in eV/atom: 0.0713
# Density of states at the Fermi level in states/eV/atom: 1.126
# VASP energy in eV/cell: -19.4
# Volume in Å³ per cell: 63
# Density in g cm⁻³: 5.86


# BaLa3Pt (PBE-GGA, relaxed)
data_BaLa3Pt
_chemical_formula_sum 'Ba2 La6 Pt2'
_symmetry_space_group_name_H-M 'P 1'
_symmetry_Int_Tables_number 1
_symmetry_space_group_name_Hall 'P 1'
_cell_length_a 7.457
_cell_length_b 6.897
_cell_length_c 7.313
_cell_angle_alpha 90.00
_cell_angle_beta 98.90
_cell_angle_gamma 90.00
loop_
_atom_site_label
_atom_site_type_symbol
_atom_site_fract_x
_atom_site_fract_y
_atom_site_fract_z
Ba1 Ba 0.000 0.102 0.000
Ba2 Ba 0.000 0.898 0.500
La1 La 0.244 0.417 0.536
La2 La 0.244 0.583 0.036
La3 La 0.512 0.097 0.247
La4 La 0.512 0.903 0.747
La5 La 0.747 0.438 0.635
La6 La 0.747 0.562 0.135
Pt1 Pt 0.494 0.313 0.887
Pt2 Pt 0.494 0.687 0.387
# Energy relative to the elements in eV/atom: -0.4098
# Density of states at the Fermi level in states/eV/atom: 1.158
# VASP energy in eV/cell: -49.6
# Volume in Å³ per cell: 372
# Density in g cm⁻³: 6.69


# NbGaMo2 (PBE-GGA, relaxed)
data_NbGaMo2
_chemical_formula_sum 'Nb2 Ga2 Mo4'
_symmetry_space_group_name_H-M 'P 1'
_symmetry_Int_Tables_number 1
_symmetry_space_group_name_Hall 'P 1'
_cell_length_a 5.756
_cell_length_b 5.756
_cell_length_c 5.756
_cell_angle_alpha 102.72
_cell_angle_beta 102.72
_cell_angle_gamma 124.04
loop_
_atom_site_label
_atom_site_type_symbol
_atom_site_fract_x
_atom_site_fract_y
_atom_site_fract_z
Nb1 Nb 0.000 0.000 0.000
Nb2 Nb 0.750 0.250 0.500
Ga1 Ga 0.250 0.750 0.500
Ga2 Ga 0.500 0.500 0.000
Mo1 Mo 0.135 0.625 0.010
Mo2 Mo 0.375 0.385 0.510
Mo3 Mo 0.615 0.125 0.990
Mo4 Mo 0.875 0.865 0.490
# Energy relative to the elements in eV/atom: 0.6442
# Density of states at the Fermi level in states/eV/atom: 0.956
# VASP energy in eV/cell: -64.4
# Volume in Å³ per cell: 140
# Density in g cm⁻³: 8.43


# MnSi2Mo (PBE-GGA, relaxed)
data_MnSi2Mo
_chemical_formula_sum 'Mn1 Si2 Mo1'
_symmetry_space_group_name_H-M 'P 1'
_symmetry_Int_Tables_number 1
_symmetry_space_group_name_Hall 'P 1'
_cell_length_a 4.221
_cell_length_b 4.221
_cell_length_c 4.221
_cell_angle_alpha 60.00
_cell_angle_beta 60.00
_cell_angle_gamma 60.00
loop_
_atom_site_label
_atom_site_type_symbol
_atom_site_fract_x
_atom_site_fract_y
_atom_site_fract_z
Mn1 Mn 0.000 0.000 0.000
Si1 Si 0.500 0.500 0.500
Si2 Si 0.750 0.750 0.750
Mo1 Mo 0.250 0.250 0.250
# ΔE_f (raw) in eV/atom: 0.101
# Density of states at the Fermi level in states/eV/atom: 0.601
# VASP energy in eV/cell: -30.4
# Volume in Å³ per cell: 53
# Density in g cm⁻³: 6.47


# TlCdBO3 (PBE-GGA, relaxed)
data_TlCdBO3
_chemical_formula_sum 'Tl2 Cd2 B2 O6'
_symmetry_space_group_name_H-M 'P 1'
_symmetry_Int_Tables_number 1
_symmetry_space_group_name_Hall 'P 1'
_cell_length_a 5.557
_cell_length_b 5.557
_cell_length_c 6.311
_cell_angle_alpha 90.00
_cell_angle_beta 90.00
_cell_angle_gamma 120.00
loop_
_atom_site_label
_atom_site_type_symbol
_atom_site_fract_x
_atom_site_fract_y
_atom_site_fract_z
Tl1 Tl 0.333 0.667 0.250
Tl2 Tl 0.667 0.333 0.750
Cd1 Cd 0.000 0.000 0.000
Cd2 Cd 0.000 0.000 0.500
B1 B 0.333 0.667 0.750
B2 B 0.667 0.333 0.250
O1 O 0.187 0.375 0.750
O2 O 0.187 0.813 0.750
O3 O 0.375 0.187 0.250
O4 O 0.625 0.813 0.750
O5 O 0.813 0.187 0.250
O6 O 0.813 0.625 0.250
# ΔE_f (raw) in eV/atom: -1.464
# Density of states at the Fermi level in states/eV/atom: 0.000
# VASP energy in eV/cell: -67.2
# Volume in Å³ per cell: 169
# Density in g cm⁻³: 7.39


# UCr4S8 (PBE-GGA, relaxed)
data_UCr4S8
_chemical_formula_sum 'U1 Cr4 S8'
_symmetry_space_group_name_H-M 'P 1'
_symmetry_Int_Tables_number 1
_symmetry_space_group_name_Hall 'P 1'
_cell_length_a 7.274
_cell_length_b 7.274
_cell_length_c 7.274
_cell_angle_alpha 57.81
_cell_angle_beta 57.81
_cell_angle_gamma 57.81
loop_
_atom_site_label
_atom_site_type_symbol
_atom_site_fract_x
_atom_site_fract_y
_atom_site_fract_z
U1 U 0.000 0.000 0.000
Cr1 Cr 0.000 0.000 0.500
Cr2 Cr 0.000 0.500 0.000
Cr3 Cr 0.500 0.000 0.000
Cr4 Cr 0.500 0.500 0.500
S1 S 0.237 0.237 0.237
S2 S 0.242 0.738 0.738
S3 S 0.262 0.262 0.758
S4 S 0.262 0.758 0.262
S5 S 0.738 0.242 0.738
S6 S 0.738 0.738 0.242
S7 S 0.758 0.262 0.262
S8 S 0.763 0.763 0.763
# ΔE_f (raw) in eV/atom: -0.833
# Density of states at the Fermi level in states/eV/atom: 0.652
# VASP energy in eV/cell: -93.6
# Volume in Å³ per cell: 259
# Density in g cm⁻³: 4.51


# YTlC3 (PBE-GGA, relaxed)
data_YTlC3
_chemical_formula_sum 'Y1 Tl1 C3'
_symmetry_space_group_name_H-M 'P 1'
_symmetry_Int_Tables_number 1
_symmetry_space_group_name_Hall 'P 1'
_cell_length_a 4.646
_cell_length_b 4.646
_cell_length_c 4.646
_cell_angle_alpha 90.00
_cell_angle_beta 90.00
_cell_angle_gamma 90.00
loop_
_atom_site_label
_atom_site_type_symbol
_atom_site_fract_x
_atom_site_fract_y
_atom_site_fract_z
Y1 Y 0.000 0.000 0.000
Tl1 Tl 0.500 0.500 0.500
C1 C 0.000 0.000 0.500
C2 C 0.000 0.500 0.000
C3 C 0.500 0.000 0.000
# Energy relative to the elements in eV/atom: 2.4836
# Density of states at the Fermi level in states/eV/atom: 0.686
# VASP energy in eV/cell: -24.1
# Volume in Å³ per cell: 100
# Density in g cm⁻³: 5.45


# Li2Mg2Ta (PBE-GGA, relaxed)
data_Li2Mg2Ta
_chemical_formula_sum 'Li4 Mg4 Ta2'
_symmetry_space_group_name_H-M 'P 1'
_symmetry_Int_Tables_number 1
_symmetry_space_group_name_Hall 'P 1'
_cell_length_a 7.941
_cell_length_b 7.941
_cell_length_c 2.822
_cell_angle_alpha 90.00
_cell_angle_beta 90.00
_cell_angle_gamma 90.00
loop_
_atom_site_label
_atom_site_type_symbol
_atom_site_fract_x
_atom_site_fract_y
_atom_site_fract_z
Li1 Li 0.121 0.379 0.000
Li2 Li 0.379 0.879 0.000
Li3 Li 0.621 0.121 0.000
Li4 Li 0.879 0.621 0.000
Mg1 Mg 0.181 0.681 0.500
Mg2 Mg 0.319 0.181 0.500
Mg3 Mg 0.681 0.819 0.500
Mg4 Mg 0.819 0.319 0.500
Ta1 Ta 0.000 0.000 0.000
Ta2 Ta 0.500 0.500 0.000
# Energy relative to the elements in eV/atom: 0.3130
# Density of states at the Fermi level in states/eV/atom: 0.805
# VASP energy in eV/cell: -34.6
# Volume in Å³ per cell: 178
# Density in g cm⁻³: 4.54


# CaGe2Te2 (PBE-GGA, relaxed)
data_CaGe2Te2
_chemical_formula_sum 'Ca2 Ge4 Te4'
_symmetry_space_group_name_H-M 'P 1'
_symmetry_Int_Tables_number 1
_symmetry_space_group_name_Hall 'P 1'
_cell_length_a 8.342
_cell_length_b 8.342
_cell_length_c 4.148
_cell_angle_alpha 90.00
_cell_angle_beta 90.00
_cell_angle_gamma 90.00
loop_
_atom_site_label
_atom_site_type_symbol
_atom_site_fract_x
_atom_site_fract_y
_atom_site_fract_z
Ca1 Ca 0.000 0.000 0.000
Ca2 Ca 0.500 0.500 0.000
Ge1 Ge 0.179 0.321 0.500
Ge2 Ge 0.321 0.821 0.500
Ge3 Ge 0.679 0.179 0.500
Ge4 Ge 0.821 0.679 0.500
Te1 Te 0.159 0.659 0.000
Te2 Te 0.341 0.159 0.000
Te3 Te 0.659 0.841 0.000
Te4 Te 0.841 0.341 0.000
# ΔE_f (raw) in eV/atom: -0.244
# Density of states at the Fermi level in states/eV/atom: 0.751
# VASP energy in eV/cell: -37.5
# Volume in Å³ per cell: 289
# Density in g cm⁻³: 5.07


# Y2NiBiIr (PBE-GGA, relaxed)
data_Y2NiBiIr
_chemical_formula_sum 'Y2 Ni1 Bi1 Ir1'
_symmetry_space_group_name_H-M 'P 1'
_symmetry_Int_Tables_number 1
_symmetry_space_group_name_Hall 'P 1'
_cell_length_a 5.123
_cell_length_b 5.123
_cell_length_c 4.668
_cell_angle_alpha 90.00
_cell_angle_beta 90.00
_cell_angle_gamma 90.00
loop_
_atom_site_label
_atom_site_type_symbol
_atom_site_fract_x
_atom_site_fract_y
_atom_site_fract_z
Y1 Y 0.000 0.500 0.000
Y2 Y 0.500 0.000 0.000
Ni1 Ni 0.000 0.000 0.000
Bi1 Bi 0.000 0.000 0.500
Ir1 Ir 0.500 0.500 0.500
# Energy relative to the elements in eV/atom: 0.1105
# Density of states at the Fermi level in states/eV/atom: 0.743
# VASP energy in eV/cell: -30.9
# Volume in Å³ per cell: 123
# Density in g cm⁻³: 8.64


# NaHf3Hg (PBE-GGA, relaxed)
data_NaHf3Hg
_chemical_formula_sum 'Na1 Hf3 Hg1'
_symmetry_space_group_name_H-M 'P 1'
_symmetry_Int_Tables_number 1
_symmetry_space_group_name_Hall 'P 1'
_cell_length_a 5.312
_cell_length_b 5.312
_cell_length_c 5.312
_cell_angle_alpha 90.00
_cell_angle_beta 90.00
_cell_angle_gamma 90.00
loop_
_atom_site_label
_atom_site_type_symbol
_atom_site_fract_x
_atom_site_fract_y
_atom_site_fract_z
Na1 Na 0.000 0.000 0.000
Hf1 Hf 0.000 0.500 0.500
Hf2 Hf 0.500 0.000 0.500
Hf3 Hf 0.500 0.500 0.000
Hg1 Hg 0.500 0.500 0.500
# Energy relative to the elements in eV/atom: 1.2166
# Density of states at the Fermi level in states/eV/atom: 0.735
# VASP energy in eV/cell: -25.4
# Volume in Å³ per cell: 150
# Density in g cm⁻³: 8.41


# CaNbCrN2 (PBE-GGA, relaxed)
data_CaNbCrN2
_chemical_formula_sum 'Ca1 Nb1 Cr1 N2'
_symmetry_space_group_name_H-M 'P 1'
_symmetry_Int_Tables_number 1
_symmetry_space_group_name_Hall 'P 1'
_cell_length_a 4.200
_cell_length_b 4.200
_cell_length_c 4.964
_cell_angle_alpha 90.00
_cell_angle_beta 90.00
_cell_angle_gamma 90.00
loop_
_atom_site_label
_atom_site_type_symbol
_atom_site_fract_x
_atom_site_fract_y
_atom_site_fract_z
Ca1 Ca 0.000 0.000 0.000
Nb1 Nb 0.500 0.500 0.500
Cr1 Cr 0.500 0.500 0.000
N1 N 0.000 0.500 0.500
N2 N 0.500 0.000 0.500
# ΔE_f (raw) in eV/atom: 0.540
# Density of states at the Fermi level in states/eV/atom: 0.615
# VASP energy in eV/cell: -35.6
# Volume in Å³ per cell: 88
# Density in g cm⁻³: 4.04